Cu2IrRh | SCAN | single point on PBEsol structure

mass density = 13697 kg/m3
polymorph energy (0 for the lowest one) = 41 meV/atom
DFT formation energy = 7.7 kJ/mol of atoms
raw total energy = -33.737 eV per atom

abc: 2.6584 3.7123 5.1866
angles: 90.00 89.96 90.00
Positions (direct):
Ir 0.0002 0.0000 0.5075
Rh 0.4998 0.5000 0.7421
Cu 0.9998 0.0000 0.0117
Cu 0.5002 0.5000 0.2386